# 1
AcPm4Sn5, relaxed, DFT PBE; formation energy from the elements = -0.65 eV per atom; SG = P4/mmm; magnetic moment = 0.00 μB/f.u.
1.0
3.574 0.000 0.000
0.000 3.574 0.000
0.000 0.000 22.823
Ac Pm Sn
1 4 5
direct
0.000 0.000 0.000 Ac
0.000 0.000 0.205 Pm
0.000 0.000 0.402 Pm
0.000 0.000 0.598 Pm
0.000 0.000 0.795 Pm
0.500 0.500 0.108 Sn
0.500 0.500 0.304 Sn
0.500 0.500 0.500 Sn
0.500 0.500 0.696 Sn
0.500 0.500 0.892 Sn

=====

# 2
Ca2BeRu, relaxed, DFT PBE; formation energy from the elements = 0.43 eV per atom; SG = I-4m2; magnetic moment = 0.00 μB/f.u.
1.0
-2.214 2.214 3.951
2.214 -2.214 3.951
2.214 2.214 -3.951
Ca Be Ru
2 1 1
direct
0.000 0.000 0.000 Ca
0.750 0.250 0.500 Ca
0.500 0.500 0.000 Be
0.250 0.750 0.500 Ru

=====

# 3
Cr2CdW, relaxed, DFT PBE; formation energy from the elements = 0.50 eV per atom; SG = P2/m; magnetic moment = 0.00 μB/f.u.
1.0
2.721 0.000 0.000
0.000 4.230 0.000
-1.281 0.000 5.496
Cr Cd W
2 1 1
direct
0.217 0.000 0.186 Cr
0.783 0.000 0.814 Cr
0.000 0.500 0.500 Cd
0.500 0.500 0.000 W

=====

# 4
Si2Tc, relaxed, DFT PBE; distance to the lowest polymorph of the same formula = 125 meV/atom; SG = Cmcm; magnetic moment = 0.00 μB/f.u.
1.0
1.568 -5.969 0.000
1.568 5.969 0.000
0.000 0.000 4.253
Si Tc
4 2
direct
0.068 0.932 0.750 Si
0.267 0.733 0.250 Si
0.733 0.267 0.750 Si
0.932 0.068 0.250 Si
0.402 0.598 0.750 Tc
0.598 0.402 0.250 Tc